# 1
Entry from Alexandria via LeMat-Bulk: an optimized crystal structure of LiLaZrTc (PBE-GGA).

abc: 4.9027 4.9027 4.9027
angles: 60.00 60.00 60.00
Closest atoms and distances in Å follow each position.
Element x y z (fractional)
La 0.7500 0.7500 0.7500  4 Tc 3.00, 4 Li 3.00
Zr 0.2500 0.2500 0.2500  4 Li 3.00, 4 Tc 3.00
Li 0.0000 0.0000 0.0000  4 Zr 3.00, 4 La 3.00
Tc 0.5000 0.5000 0.5000  4 Zr 3.00, 4 La 3.00

Summary:
ΔE_f (eV per formula unit): 0.12

# 2
Entry from Alexandria via LeMat-Bulk: an optimized crystal structure of CaErTeSe (PBE-GGA).

abc: 4.2168 4.2168 7.4986
angles: 73.67 73.67 60.00
Closest atoms and distances in Å follow each position.
Element x y z (fractional)
Er 0.5073 0.5073 0.4782  3 Se 2.90, 3 Te 3.07
Te 0.7530 0.7530 0.7409  3 Er 3.07, 3 Ca 3.16
Ca 0.9920 0.9920 0.0241  3 Se 2.94, 3 Te 3.16
Se 0.2477 0.2477 0.2568  3 Er 2.90, 3 Ca 2.94

Summary:
Raw formation energy (eV/atom): -1.62

# 3
Entry from Alexandria via LeMat-Bulk: an optimized crystal structure of Ac2Pr5NdHo (PBE-GGA).

abc: 5.8889 10.8983 10.9976
angles: 90.00 90.00 105.67
Closest atoms and distances in Å follow each position.
Element x y z (fractional)
Pr 0.9821 0.9643 0.5193  2 Nd 3.38, 3 Ac 3.62-3.74
Pr 0.2807 0.5614 0.3138  1 Nd 3.15, 1 Ac 3.43
Pr 0.3844 0.7689 0.0195  6 Pr 3.69-4.06, 4 Ac 3.70-3.76, 1 Ho 3.76
Pr 0.6156 0.2311 0.5195  6 Pr 3.69-4.06, 4 Ac 3.70-3.76, 1 Ho 3.76
Pr 0.4848 0.9696 0.7434  2 Nd 3.35-3.44, 2 Pr 3.69-3.70, 2 Ac 3.73
Pr 0.2928 0.5856 0.7028  1 Nd 3.53, 2 Pr 3.54, 3 Ho 3.63-3.84, 3 Ac 3.71-3.77
Pr 0.7193 0.4386 0.8138  1 Nd 3.15, 1 Ac 3.43
Pr 0.7072 0.4144 0.2028  1 Nd 3.53, 2 Pr 3.54, 3 Ho 3.63-3.84, 3 Ac 3.71-3.77
Pr 0.5152 0.0304 0.2434  2 Nd 3.35-3.44, 2 Pr 3.69-3.70, 2 Ac 3.73
Pr 0.0179 0.0357 0.0193  2 Nd 3.38, 3 Ac 3.62-3.74
Ac 0.1139 0.2279 0.7328  1 Ho 3.59, 9 Pr 3.63-4.00, 2 Nd 3.94
Ac 0.8861 0.7721 0.2328  1 Ho 3.59, 9 Pr 3.63-4.00, 2 Nd 3.94
Ac 0.8827 0.7654 0.8152  8 Pr 3.43-3.73, 1 Ho 3.84
Ac 0.1173 0.2346 0.3152  8 Pr 3.43-3.73, 1 Ho 3.84
Ho 0.2052 0.4104 0.0091  2 Ac 3.59-3.84, 8 Pr 3.63-3.93, 2 Nd 3.80
Ho 0.7948 0.5896 0.5091  2 Ac 3.59-3.84, 8 Pr 3.63-3.93, 2 Nd 3.80
Nd 0.4073 0.8146 0.4679  6 Pr 3.15-3.53
Nd 0.5927 0.1854 0.9679  6 Pr 3.15-3.53

Summary:
ΔE_f (eV per formula unit): 1.15

# 4
Entry from Alexandria via LeMat-Bulk: an optimized crystal structure of Y2Ga9Co3 (PBE-GGA).

abc: 7.3622 7.3622 9.4384
angles: 90.00 90.00 119.76
Closest atoms and distances in Å follow each position.
Element x y z (fractional)
Ga 0.3337 0.3337 0.4429  3 Co 2.52-2.56, 5 Ga 2.68-2.81
Ga 0.3341 0.0002 0.9284  3 Co 2.50-2.55, 4 Ga 2.73-2.79
Ga 0.6659 0.9998 0.4284  3 Co 2.50-2.55, 4 Ga 2.73-2.79
Ga 0.4503 0.6635 0.2500  2 Co 2.53, 6 Ga 2.72-2.81
Ga 0.0002 0.3341 0.5716  3 Co 2.50-2.55, 4 Ga 2.73-2.79
Ga 0.6659 0.9998 0.0716  3 Co 2.50-2.55, 4 Ga 2.73-2.79
Ga 0.0002 0.3341 0.9284  3 Co 2.50-2.55, 4 Ga 2.73-2.79
Ga 0.8787 0.8787 0.2500  2 Co 2.52, 6 Ga 2.73-2.74
Ga 0.6635 0.4503 0.2500  2 Co 2.53, 6 Ga 2.72-2.81
Ga 0.3365 0.5497 0.7500  2 Co 2.53, 6 Ga 2.72-2.81
Ga 0.6663 0.6663 0.9429  3 Co 2.52-2.56, 5 Ga 2.68-2.81
Ga 0.3337 0.3337 0.0571  3 Co 2.52-2.56, 5 Ga 2.68-2.81
Ga 0.1213 0.1213 0.7500  2 Co 2.52, 6 Ga 2.73-2.74
Ga 0.9998 0.6659 0.4284  3 Co 2.50-2.55, 4 Ga 2.73-2.79
Ga 0.9998 0.6659 0.0716  3 Co 2.50-2.55, 4 Ga 2.73-2.79
Ga 0.6663 0.6663 0.5571  3 Co 2.52-2.56, 5 Ga 2.68-2.81
Ga 0.3341 0.0002 0.5716  3 Co 2.50-2.55, 4 Ga 2.73-2.79
Ga 0.5497 0.3365 0.7500  2 Co 2.53, 6 Ga 2.72-2.81
Co 0.0000 0.0000 0.0000  8 Ga 2.52-2.55
Co 0.6708 0.3292 0.0000  8 Ga 2.50-2.56
Co 0.6708 0.3292 0.5000  8 Ga 2.50-2.56
Co 0.3292 0.6708 0.5000  8 Ga 2.50-2.56
Co 0.0000 0.0000 0.5000  8 Ga 2.52-2.55
Co 0.3292 0.6708 0.0000  8 Ga 2.50-2.56
Y 0.0029 0.3317 0.2500  11 Ga 2.97-3.04
Y 0.6683 0.9971 0.7500  11 Ga 2.97-3.04
Y 0.9971 0.6683 0.7500  11 Ga 2.97-3.04
Y 0.3317 0.0029 0.2500  11 Ga 2.97-3.04

Summary:
ΔE_f (eV per formula unit): -6.87

# 5
Entry from Alexandria via LeMat-Bulk: an optimized crystal structure of SrHf2MnTc (PBE-GGA).

abc: 5.0114 5.2091 5.0114
angles: 90.00 90.00 90.00
Closest atoms and distances in Å follow each position.
Element x y z (fractional)
Sr 0.5000 0.5000 0.5000  4 Mn 3.54, 8 Hf 3.61
Tc 0.0000 0.0000 0.0000  4 Hf 2.51, 2 Mn 2.60
Mn 0.0000 0.5000 0.0000  2 Tc 2.60
Hf 0.0000 0.0000 0.5000  2 Tc 2.51
Hf 0.5000 0.0000 0.0000  2 Tc 2.51

Summary:
ΔE_f (eV per formula unit): 2.42

# 6
Entry from Alexandria via LeMat-Bulk: an optimized crystal structure of ScFe2W (PBE-GGA).

abc: 5.0876 5.0876 5.0876
angles: 138.49 138.49 60.15
Closest atoms and distances in Å follow each position.
Element x y z (fractional)
W 0.7500 0.2500 0.5000  8 Fe 2.55-2.85, 4 Sc 2.85
Sc 0.5000 0.5000 0.0000  8 Fe 2.55-2.85, 4 W 2.85
Fe 0.2500 0.7500 0.5000  4 W 2.55, 4 Sc 2.85, 4 Fe 2.85
Fe 0.0000 0.0000 0.0000  4 Sc 2.55, 4 Fe 2.85, 4 W 2.85

Summary:
ΔE_f (eV per formula unit): 1.08

# 7
Entry from Alexandria via LeMat-Bulk: an optimized crystal structure of Y2MnW (PBE-GGA).

abc: 6.0072 6.0072 4.5430
angles: 67.79 67.79 32.41
Closest atoms and distances in Å follow each position.
Element x y z (fractional)
Y 0.5525 0.5525 0.4475  2 Mn 2.68
Y 0.9475 0.9475 0.0525  2 Mn 2.68
W 0.7500 0.7500 0.7500  4 Mn 2.82, 4 Y 3.09
Mn 0.2500 0.2500 0.2500  4 Y 2.68, 4 W 2.82

Summary:
ΔE_f (eV per formula unit): 2.87
ΔE to the lowest computed polymorph (meV/atom): 491

# 8
Entry from Alexandria via LeMat-Bulk: an optimized crystal structure of TeRuSe2 (PBE-GGA).

abc: 3.0293 3.0307 10.2633
angles: 90.00 90.00 90.00
Closest atoms and distances in Å follow each position.
Element x y z (fractional)
Te 0.5000 0.5000 0.2500  4 Te 3.03
Se 0.0000 0.0000 0.5979  4 Ru 2.65
Se 0.0000 0.0000 0.9021  4 Ru 2.65
Ru 0.5000 0.5000 0.7500  8 Se 2.65

Summary:
Raw formation energy (eV/atom): 0.05

# 9
Entry from Alexandria via LeMat-Bulk: an optimized crystal structure of Sr2Cd5Ge (PBE-GGA).

abc: 4.8778 9.2504 9.9863
angles: 90.00 90.00 105.29
Closest atoms and distances in Å follow each position.
Element x y z (fractional)
Sr 0.0000 0.0000 0.0000  10 Cd 3.56-3.89, 4 Ge 3.62
Sr 0.8075 0.6151 0.7500  11 Cd 3.40-3.77, 2 Ge 3.47
Sr 0.1925 0.3849 0.2500  11 Cd 3.40-3.77, 2 Ge 3.47
Sr 0.0000 0.0000 0.5000  10 Cd 3.56-3.89, 4 Ge 3.62
Cd 0.3554 0.7107 0.9711  1 Ge 2.74, 4 Cd 2.90-3.04
Cd 0.1905 0.3810 0.6061  4 Cd 2.87-3.04
Cd 0.6446 0.2893 0.4711  1 Ge 2.74, 4 Cd 2.90-3.04
Cd 0.4035 0.8069 0.2500  1 Ge 2.69, 2 Cd 2.91
Cd 0.6446 0.2893 0.0289  1 Ge 2.74, 4 Cd 2.90-3.04
Cd 0.1905 0.3810 0.8939  4 Cd 2.87-3.04
Cd 0.8095 0.6190 0.3939  4 Cd 2.87-3.04
Cd 0.3554 0.7107 0.5289  1 Ge 2.74, 4 Cd 2.90-3.04
Cd 0.5965 0.1931 0.7500  1 Ge 2.69, 2 Cd 2.91
Cd 0.8095 0.6190 0.1061  4 Cd 2.87-3.04
Ge 0.4459 0.8918 0.7500  3 Cd 2.69-2.74
Ge 0.5541 0.1082 0.2500  3 Cd 2.69-2.74

Summary:
ΔE_f (eV per formula unit): -2.50

# 10
Entry from Alexandria via LeMat-Bulk: an optimized crystal structure of Sr3I2O7 (PBE-GGA).

abc: 4.1598 4.8741 10.1938
angles: 103.83 90.00 90.00
Closest atoms and distances in Å follow each position.
Element x y z (fractional)
Sr 0.5000 0.5000 0.0000  8 O 2.92-3.20
Sr 0.5000 0.6852 0.3704  6 O 2.63-2.90
Sr 0.5000 0.3148 0.6296  6 O 2.63-2.90
O 0.0000 0.3962 0.7925  2 I 2.44, 2 Sr 2.63
O 0.5000 0.1154 0.2309  2 I 2.08
O 0.0000 0.6038 0.2075  2 I 2.44, 2 Sr 2.63
O 0.5000 0.8846 0.7691  2 I 2.08
O 0.0000 0.7872 0.5743  1 I 2.02
O 0.0000 0.0000 0.0000  2 I 2.20
O 0.0000 0.2128 0.4257  1 I 2.02
I 0.0000 0.1110 0.2220  4 O 2.02-2.20
I 0.0000 0.8890 0.7780  4 O 2.02-2.20

Summary:
Raw formation energy (eV/atom): -1.28

# 11
Entry from Alexandria via LeMat-Bulk: an optimized crystal structure of GaSbPt2 (PBE-GGA).

abc: 4.2628 4.2628 9.0314
angles: 76.35 76.35 90.00
Closest atoms and distances in Å follow each position.
Element x y z (fractional)
Sb 0.7500 0.2500 0.5000  4 Pt 2.63
Sb 0.0000 0.0000 0.0000  4 Pt 2.63
Pt 0.8750 0.8650 0.7500  2 Ga 2.59, 2 Sb 2.63
Pt 0.3750 0.3850 0.7500  2 Ga 2.59, 2 Sb 2.63
Pt 0.1350 0.6250 0.2500  2 Ga 2.59, 2 Sb 2.63
Pt 0.6150 0.1250 0.2500  2 Ga 2.59, 2 Sb 2.63
Ga 0.5000 0.5000 0.0000  4 Pt 2.59
Ga 0.2500 0.7500 0.5000  4 Pt 2.59

Summary:
Raw formation energy (eV/atom): -0.28

# 12
Entry from Alexandria via LeMat-Bulk: an optimized crystal structure of La7Pm2Pr3 (PBE-GGA).

abc: 3.6683 6.0846 20.2349
angles: 104.21 90.00 90.00
Closest atoms and distances in Å follow each position.
Element x y z (fractional)
La 0.5000 0.2787 0.5346  1 Pm 3.31, 4 La 3.33-3.67
La 0.5000 0.7213 0.4654  1 Pm 3.31, 4 La 3.33-3.67
La 0.5000 0.0041 0.8201  6 La 3.60-3.67, 2 Pm 3.78-3.83
La 0.0000 0.0000 0.0000  4 Pr 3.55, 4 La 3.55-3.67
La 0.5000 0.9959 0.1799  6 La 3.60-3.67, 2 Pm 3.78-3.83
La 0.0000 0.4649 0.1459  2 Pm 3.48, 2 Pr 3.53, 7 La 3.55-3.67
La 0.0000 0.5351 0.8541  2 Pm 3.48, 2 Pr 3.53, 7 La 3.55-3.67
Pr 0.0000 0.8566 0.6353  2 Pr 3.67, 4 Pm 3.79-3.80, 8 La 3.80-4.08
Pr 0.5000 0.5000 0.0000  8 La 3.53-3.55, 2 Pr 3.67
Pr 0.0000 0.1434 0.3647  2 Pr 3.67, 4 Pm 3.79-3.80, 8 La 3.80-4.08
Pm 0.5000 0.5858 0.2967  3 La 3.31-3.48, 2 Pm 3.67
Pm 0.5000 0.4142 0.7033  3 La 3.31-3.48, 2 Pm 3.67

Summary:
ΔE_f (eV per formula unit): 0.89
ΔE to the lowest computed polymorph (meV/atom): 16

In the order shown, the computed electronic total energy values come out to -6.41 -4.92 -4.48 -4.88 -7.74 -8.78 -8.05 -4.79 -1.88 -4.85 -5.09 -4.79 eV per atom.
In the order shown, the computed mass density values come out to 6.68 6.29 7.17 7.34 7.58 9.88 8.56 6.81 6.19 5.20 12.49 6.39 Mg/m³.
In the order shown, the computed total magnetic moment values come out to 0.00 0.00 0.00 0.00 4.04 1.65 0.00 0.36 0.00 0.00 0.00 0.00 μB per formula unit.